6
Lattice="4.0019 0.0000 1.7153 1.9021 5.2016 1.0884 -0.0504 -0.0823 5.6436" Properties=species:S:1:pos:R:3 comment="PrNdCu4 GGA-PBE optimized geometry" delta_e_f_ev_per_atom=-0.20 polymorph_energy_ev_per_fu=0.000 total_energy_ev_per_cell=-27.2 magmom_total_mub_per_fu=0.000 pbc="T T T"
Cu 1.8498 3.2491 1.2103
Cu 0.7139 0.1750 3.8604
Cu 4.1583 2.2931 6.8765
Cu 4.9834 4.5259 4.9516
Pr 2.9942 2.3993 4.0665
Nd 1.9355 0.1559 1.0104

***

4
Lattice="7.9835 5.2998 1.7066 9.3647 2.6421 -0.2391 7.8522 5.4425 -1.8598" Properties=species:S:1:pos:R:3 comment="CaPCl2 GGA-PBE optimized geometry" formation_energy_uncorrected_ev_per_atom=0.018 polymorph_energy_ev_per_fu=4.311 total_energy_ev_per_cell=-11.0 magmom_total_mub_per_fu=0.687 pbc="T T T"
Cl 2.2624 1.2016 -0.0352
Cl 22.9380 12.1827 -0.3571
P 12.6002 6.6922 -0.1962
Ca 0.0000 0.0000 0.0000

***

5
Lattice="4.3625 0.0000 0.0000 0.0000 2.9492 0.0000 0.0000 0.0000 4.3625" Properties=species:S:1:pos:R:3 comment="CrFe2HS GGA-PBE optimized geometry" total_energy_ev_per_cell=-30.6 magmom_total_mub_per_fu=4.609 pbc="T T T"
S 0.0000 0.0000 0.0000
Cr 2.1813 1.4746 2.1813
H 0.0000 1.4746 0.0000
Fe 0.0000 0.0000 2.1813
Fe 2.1813 0.0000 0.0000

***

20
Lattice="-4.1660 2.0523 0.5159 -5.7339 -10.1699 -5.8469 0.0742 -2.6647 11.2003" Properties=species:S:1:pos:R:3 comment="AgBi3Pb6 GGA-PBE optimized geometry" delta_e_f_ev_per_atom=0.08 polymorph_energy_ev_per_fu=0.210 total_energy_ev_per_cell=-72.0 magmom_total_mub_per_fu=0.000 pbc="T T T"
Ag -3.2388 -0.6033 7.9867
Ag -6.5869 -10.1790 -2.1175
Bi -4.2964 -0.6697 -0.2900
Bi -2.8368 -4.0533 3.7971
Bi -5.5293 -10.1126 6.1592
Bi -6.9889 -6.7290 2.0721
Bi -5.0877 -4.3315 7.8874
Bi -4.7379 -6.4508 -2.0182
Pb -1.1684 -2.1983 9.8912
Pb -7.7732 -7.5714 -0.9101
Pb -2.0525 -3.2109 6.7793
Pb -6.1986 -10.1552 0.9232
Pb -8.6573 -8.5840 -4.0220
Pb -2.0274 -1.8646 1.6261
Pb -4.0433 -5.8620 1.2491
Pb -7.7983 -8.9177 4.2431
Pb -3.9714 -7.0952 6.7360
Pb -5.7824 -4.9203 4.6201
Pb -3.6271 -0.6271 4.9460
Pb -5.8543 -3.6871 -0.8668